PBE+U CrH8N2O4, optimized geometry; calculated density = 1.81 g cm⁻³; raw total energy = -165.33 eV/cell; V = 279 Å³/cell
1.0
5.9637 -3.2810 0.0000
5.9637 3.2810 0.0000
-3.1036 0.0000 7.1245
Cr H N O
2 16 4 8
direct
0.1780 0.1780 0.2246
0.8220 0.8220 0.7754
0.0780 0.0780 0.7495
0.0869 0.3410 0.8057
0.1457 0.1457 0.5966
0.3225 0.5780 0.8068
0.3410 0.0869 0.8057
0.4052 0.4052 0.5981
0.4220 0.6775 0.1932
0.4461 0.4461 0.2576
0.5539 0.5539 0.7424
0.5780 0.3225 0.8068
0.5948 0.5948 0.4019
0.6590 0.9131 0.1943
0.6775 0.4220 0.1932
0.8543 0.8543 0.4034
0.9131 0.6590 0.1943
0.9220 0.9220 0.2505
0.1624 0.1624 0.7401
0.4661 0.4661 0.7406
0.5339 0.5339 0.2594
0.8376 0.8376 0.2599
0.0642 0.6454 0.9074
0.0968 0.0968 0.3564
0.3282 0.3282 0.3593
0.3546 0.9358 0.0926
0.6454 0.0642 0.9074
0.6718 0.6718 0.6407
0.9032 0.9032 0.6436
0.9358 0.3546 0.0926